Record 1
Sc2ReAs (meta-GGA SCAN, PBEsol geometry); calculated density = 8.20 Mg/m³; crystal system = trigonal; formation enthalpy at 0 K = 229 meV/atom; D(E_F) = 3.56 states/eV per cell
1.0
-0.234 1.827 2.246
-1.131 -0.923 2.511
8.416 -2.298 4.626
As Sc Re
1 2 1
Direct
0.500 0.500 0.500
0.911 0.911 0.266
0.089 0.089 0.734
0.000 0.000 0.000

***

Record 2
Re2AsSe (meta-GGA SCAN, PBEsol geometry); calculated density = 14.28 Mg/m³; ΔE_f (raw) = 0.805 eV per atom; energy above the most stable polymorph in this dataset = 704 meV/atom; crystal system = tetragonal; D(E_F) = 2.22 states/eV per cell
1.0
4.027 0.000 0.000
0.000 4.027 0.000
-2.014 -2.014 3.773
Re As Se
2 1 1
Direct
0.750 0.250 0.500
0.000 0.000 0.000
0.250 0.750 0.500
0.500 0.500 0.000

***

Record 3
ReAs2Se (meta-GGA SCAN, PBEsol geometry); calculated density = 9.66 Mg/m³; ΔE_f (raw) = 0.370 eV per atom; crystal system = tetragonal; D(E_F) = 2.16 states/eV per cell
1.0
2.976 0.000 0.000
0.000 2.976 0.000
0.000 0.000 8.057
As Se Re
2 1 1
Direct
0.500 0.500 0.296
0.000 0.000 0.017
0.500 0.500 0.686
0.000 0.000 0.501

***

Record 4
Re2AsSe (meta-GGA SCAN, PBEsol geometry); calculated density = 12.97 Mg/m³; ΔE_f (raw) = 0.101 eV per atom; energy above the most stable polymorph in this dataset = 0 meV/atom; crystal system = tetragonal; D(E_F) = 1.93 states/eV per cell
1.0
-1.708 1.963 1.323
-2.235 -0.801 -1.697
-2.110 -5.438 5.346
Re As Se
2 1 1
Direct
0.000 0.000 0.012
0.500 0.500 0.242
0.500 0.500 0.808
0.000 0.000 0.438

***

Record 5
ReTcAsSe2 (meta-GGA SCAN, PBEsol geometry); calculated density = 7.77 Mg/m³; ΔE_f (raw) = 1.199 eV per atom; crystal system = tetragonal; D(E_F) = 4.68 states/eV per cell
1.0
4.738 0.000 0.000
0.000 4.830 0.000
0.000 0.000 4.830
As Se Tc Re
1 2 1 1
Direct
0.500 0.000 0.000
0.000 0.000 0.500
0.000 0.500 0.000
0.500 0.500 0.500
0.000 0.000 0.000

***

Record 6
ReTcAs2Se (meta-GGA SCAN, PBEsol geometry); calculated density = 7.68 Mg/m³; ΔE_f (raw) = 1.204 eV per atom; crystal system = tetragonal; D(E_F) = 4.31 states/eV per cell
1.0
-2.547 -2.085 3.286
-1.406 -3.169 -3.100
4.003 -2.968 1.219
Re Tc Se As
1 1 1 2
Direct
0.000 0.000 0.000
0.500 0.500 0.500
0.000 0.000 0.500
0.500 0.000 0.000
0.000 0.500 0.000

***

Record 7
TiReAsSe2 (meta-GGA SCAN, PBEsol geometry); calculated density = 7.00 Mg/m³; ΔE_f (raw) = 0.880 eV per atom; crystal system = tetragonal; D(E_F) = 2.82 states/eV per cell
1.0
-3.374 2.096 -2.609
-1.379 -4.246 -1.628
-3.149 -0.412 3.741
As Re Se Ti
1 1 2 1
Direct
0.000 0.000 0.500
0.500 0.500 0.500
0.000 0.500 0.000
0.500 0.000 0.000
0.000 0.000 0.000

***

Record 8
YReAsSe2 (meta-GGA SCAN, PBEsol geometry); calculated density = 5.66 Mg/m³; ΔE_f (raw) = 0.977 eV per atom; crystal system = tetragonal; D(E_F) = 3.85 states/eV per cell
1.0
-3.993 3.106 -1.376
-3.271 -2.943 2.850
0.947 3.131 4.321
Se As Re Y
2 1 1 1
Direct
0.500 0.000 0.000
0.000 0.500 0.000
0.000 0.000 0.500
0.500 0.500 0.500
0.000 0.000 0.000

***

Record 9
ReSiAs (meta-GGA SCAN, PBEsol geometry); calculated density = 10.36 Mg/m³; ΔE_f (raw) = 0.497 eV per atom; crystal system = orthorhombic; D(E_F) = 1.96 states/eV per cell
1.0
-0.595 0.776 -2.683
0.327 -2.805 0.422
-6.020 0.478 2.340
As Si Re
1 1 1
Direct
0.008 0.008 0.015
0.322 0.322 0.644
0.671 0.671 0.341

***

Record 10
TaReSiAs2 (meta-GGA SCAN, PBEsol geometry); calculated density = 7.92 Mg/m³; ΔE_f (raw) = 1.532 eV per atom; crystal system = tetragonal; D(E_F) = 2.16 states/eV per cell
1.0
-0.917 0.869 4.651
-4.779 -0.025 -0.937
-0.145 -4.790 0.866
Ta As Re Si
1 2 1 1
Direct
0.000 0.000 0.000
0.000 0.500 0.000
0.000 0.000 0.500
0.500 0.500 0.500
0.500 0.000 0.000

***

> What is the formula in the sixth record?

ReTcAs2Se

***

Repeat the seventh record exactly.
TiReAsSe2 (meta-GGA SCAN, PBEsol geometry); calculated density = 7.00 Mg/m³; ΔE_f (raw) = 0.880 eV per atom; crystal system = tetragonal; D(E_F) = 2.82 states/eV per cell
1.0
-3.374 2.096 -2.609
-1.379 -4.246 -1.628
-3.149 -0.412 3.741
As Re Se Ti
1 1 2 1
Direct
0.000 0.000 0.500
0.500 0.500 0.500
0.000 0.500 0.000
0.500 0.000 0.000
0.000 0.000 0.000

***

> D(E_F) of number 8 (YReAsSe2)?

3.85 states/eV per cell